A plane-wave DFT calculation with PBE with a Hubbard U was carried out for a relaxed NaVAsO4 crystal.

For the total magnetic moment, the calculation gives 4.0 Bohr magnetons per cell. As for the total energy: -6.362 eV per atom.

It has space group Imma (No. 74), with a = 5.7794 Å, b = 7.2799 Å, c = 8.6597 Å, α = 90.00°, β = 90.00° and γ = 90.00°. The distinct sites, in fractional coordinates, are Na at (0.0000, 0.0000, 0.0000), V at (0.2500, 0.2500, 0.2500), As at (0.0000, 0.2500, 0.6148), O at (0.0000, 0.0714, 0.2549) and O at (0.2374, 0.2500, 0.4881).